# Mg2Fe9O13 (PBE with a Hubbard U, relaxed)
# Final energy (eV for the cell shown): -296.72
# Total moment (μB per formula unit): 3.99
data_Mg2Fe9O13
_chemical_formula_sum 'Mg4 Fe18 O26'
_symmetry_space_group_name_H-M 'C 1 2/m 1'
_symmetry_Int_Tables_number 12
_cell_length_a 9.945
_cell_length_b 2.932
_cell_length_c 16.816
_cell_angle_alpha 90.00
_cell_angle_beta 97.38
_cell_angle_gamma 90.00
loop_
_symmetry_equiv_pos_as_xyz
'x,y,z'
'-x,-y,-z'
'-x,y,-z'
'x,-y,z'
'x+1/2,y+1/2,z'
'-x+1/2,-y+1/2,-z'
'-x+1/2,y+1/2,-z'
'x+1/2,-y+1/2,z'
loop_
_atom_site_label
_atom_site_type_symbol
_atom_site_fract_x
_atom_site_fract_y
_atom_site_fract_z
_atom_site_occupancy
Mg1 Mg 0.212 0.000 0.226 1
Fe1 Fe 0.000 0.500 0.500 1
Fe2 Fe 0.016 0.000 0.679 1
Fe3 Fe 0.064 0.000 0.876 1
Fe4 Fe 0.146 0.500 0.040 1
Fe5 Fe 0.248 0.500 0.415 1
O1 O 0.000 0.000 0.000 1
O2 O 0.086 0.500 0.142 1
O3 O 0.121 0.500 0.609 1
O4 O 0.136 0.000 0.465 1
O5 O 0.136 0.500 0.311 1
O6 O 0.147 0.000 0.776 1
O7 O 0.220 0.500 0.935 1